Compound: Y2Al3Zn4
Source: the Alexandria database
Functional: PBE
Structure: relaxed

Its total magnetization is 0.00 μB per formula unit. The value obtained for the calculated total energy is -3.5888 eV per atom.

a b c (Å): 5.751 15.355 7.667
angles (deg): 90.00 90.00 90.00
Space group Cmce (No. 64)
One atom of each set of equivalent atoms:
Y 0.000 0.105 0.099 (multiplicity 8)
Al 0.000 0.000 0.500 (multiplicity 4)
Al 0.250 0.232 0.750 (multiplicity 8)
Zn 0.000 0.174 0.483 (multiplicity 8)
Zn 0.250 0.064 0.750 (multiplicity 8)